VASP calculation (GGA+U) on a relaxed structure of TbMnO.

Computed properties:
Symmetry: No. 38
Final energy (eV per atom): -7.090
Size of the total moment (μB per formula unit): 5.22

Cell: 3.6741 3.6750 11.2842 Å, 90.00 90.00 119.99°
Closest atoms and distances in Å follow each position.
Fractional positions:
Mn 0.2215 0.4430 0.0000  6 Tb 3.54, 6 Mn 3.67-3.68
Mn 0.5560 0.1120 0.5000  2 O 2.18
Tb 0.8889 0.7778 0.2515  3 O 2.21
Tb 0.8889 0.7778 0.7485  3 O 2.21
O 0.5556 0.1112 0.3066  1 Mn 2.18, 3 Tb 2.21
O 0.5556 0.1112 0.6934  1 Mn 2.18, 3 Tb 2.21